Entry from OQMD: an optimized crystal structure of Tb2DyIn3Cu3 (PBE).

Unit cell a=3.865 b=7.562 c=7.562 alpha=119.99 beta=90.00 gamma=90.00
Fractional positions:
Cu 0.000 0.000 0.000
Cu 0.500 0.666 0.334
Cu 0.500 0.334 0.666
Dy 0.000 0.408 0.408
In 0.500 0.257 0.000
In 0.500 0.000 0.257
In 0.500 0.743 0.743
Tb 0.000 0.592 0.000
Tb 0.000 0.000 0.592

V	21.3	A^3/atom
magnetic moment	0.01	μB per cell
symmetry	No. 38
total DFT energy (no corrections)	-36.991	eV per cell

***

Entry from OQMD: an optimized crystal structure of Dy2TmIn3Cu3 (PBE).

Unit cell a=3.838 b=7.525 c=7.525 alpha=119.94 beta=90.00 gamma=90.00
Fractional positions:
Cu 0.000 0.001 0.001
Cu 0.500 0.665 0.334
Cu 0.500 0.334 0.665
Dy 0.000 0.000 0.592
Dy 0.000 0.592 0.000
In 0.500 0.258 0.001
In 0.500 0.001 0.258
In 0.500 0.741 0.741
Tm 0.000 0.407 0.407

V	20.9	A^3/atom
magnetic moment	0.01	μB per cell
symmetry	No. 38
total DFT energy (no corrections)	-36.781	eV per cell

***

Entry from OQMD: an optimized crystal structure of DyYIn4Cu2 (PBE).

Unit cell a=7.348 b=5.811 c=5.811 alpha=44.61 beta=90.00 gamma=90.00
Fractional positions:
Cu 0.500 0.289 0.289
Cu 0.000 0.711 0.711
Dy 0.000 0.429 0.429
In 0.202 0.137 0.137
In 0.798 0.137 0.137
In 0.298 0.863 0.863
In 0.702 0.863 0.863
Y 0.500 0.571 0.571

V	21.8	A^3/atom
magnetic moment	0.01	μB per cell
symmetry	No. 38
total DFT energy (no corrections)	-32.139	eV per cell

***

Entry from OQMD: an optimized crystal structure of DyY2In3Cu3 (PBE).

Unit cell a=3.866 b=7.534 c=7.534 alpha=120.00 beta=90.00 gamma=90.00
Fractional positions:
Cu 0.500 0.666 0.334
Cu 0.500 0.334 0.666
Cu 0.000 0.000 0.000
Dy 0.000 0.590 0.590
In 0.500 0.743 0.000
In 0.500 0.256 0.256
In 0.500 0.000 0.743
Y 0.000 0.000 0.409
Y 0.000 0.409 0.000

V	21.1	A^3/atom
magnetic moment	0.01	μB per cell
symmetry	No. 38
total DFT energy (no corrections)	-40.739	eV per cell

***

Entry from OQMD: an optimized crystal structure of DyYInCu2 (PBE).

Unit cell a=3.616 b=7.337 c=7.337 alpha=33.80 beta=90.00 gamma=90.00
Fractional positions:
Cu 0.000 0.202 0.202
Cu 0.000 0.799 0.799
Dy 0.500 0.366 0.366
In 0.000 0.000 0.000
Y 0.500 0.633 0.633

V	21.7	A^3/atom
magnetic moment	0.01	μB per cell
symmetry	No. 38
total DFT energy (no corrections)	-23.179	eV per cell

***

Entry from OQMD: an optimized crystal structure of DyCu3Ir4 (PBE).

Unit cell a=5.126 b=5.126 c=5.126 alpha=90.00 beta=90.00 gamma=90.00
Fractional positions:
Cu 0.500 0.500 0.000
Cu 0.500 0.000 0.500
Cu 0.000 0.500 0.500
Dy 0.000 0.000 0.000
Ir 0.500 0.000 0.000
Ir 0.000 0.500 0.000
Ir 0.000 0.000 0.500
Ir 0.500 0.500 0.500

V	16.8	A^3/atom
energy relative to the elements	0.803	eV/atom
magnetic moment	0.03	μB per cell
symmetry	No. 221
total DFT energy (no corrections)	-44.752	eV per cell

***

Entry from OQMD: an optimized crystal structure of DyTm2CuSn3Ir2 (PBE).

Unit cell a=3.819 b=7.534 c=7.534 alpha=120.18 beta=90.00 gamma=90.00
Fractional positions:
Cu 0.000 0.999 0.999
Dy 0.000 0.403 0.403
Ir 0.500 0.669 0.333
Ir 0.500 0.333 0.669
Sn 0.500 0.999 0.262
Sn 0.500 0.738 0.738
Sn 0.500 0.262 0.999
Tm 0.000 0.596 0.000
Tm 0.000 0.000 0.596

V	20.8	A^3/atom
magnetic moment	0.00	μB per cell
symmetry	No. 38
total DFT energy (no corrections)	-53.548	eV per cell

***

Entry from OQMD: an optimized crystal structure of Dy2TmZn3CuIr2 (PBE).

Unit cell a=3.787 b=7.167 c=7.167 alpha=119.83 beta=90.00 gamma=90.00
Fractional positions:
Cu 0.000 0.001 0.001
Dy 0.000 0.589 0.000
Dy 0.000 0.000 0.589
Ir 0.500 0.664 0.334
Ir 0.500 0.334 0.664
Tm 0.000 0.411 0.411
Zn 0.500 0.248 0.001
Zn 0.500 0.001 0.248
Zn 0.500 0.752 0.752

V	18.8	A^3/atom
energy relative to the elements	-0.607	eV/atom
magnetic moment	0.00	μB per cell
symmetry	No. 38
total DFT energy (no corrections)	-44.359	eV per cell

***

Entry from OQMD: an optimized crystal structure of DyTm2Zn3CuIr2 (PBE).

Unit cell a=3.773 b=7.158 c=7.158 alpha=120.25 beta=90.00 gamma=90.00
Fractional positions:
Cu 0.000 0.999 0.999
Dy 0.000 0.411 0.411
Ir 0.500 0.669 0.333
Ir 0.500 0.333 0.669
Tm 0.000 0.589 0.000
Tm 0.000 0.000 0.589
Zn 0.500 0.999 0.248
Zn 0.500 0.753 0.753
Zn 0.500 0.248 0.999

V	18.6	A^3/atom
energy relative to the elements	-0.614	eV/atom
magnetic moment	0.00	μB per cell
symmetry	No. 38
total DFT energy (no corrections)	-44.295	eV per cell

***

Entry from OQMD: an optimized crystal structure of KDyCu (PBE).

Unit cell a=5.066 b=5.066 c=5.066 alpha=60.00 beta=60.00 gamma=60.00
Fractional positions:
Cu 0.000 0.000 0.000
Dy 0.250 0.250 0.250
K 0.750 0.750 0.750

V	30.7	A^3/atom
magnetic moment	0.04	μB per cell
symmetry	No. 216
total DFT energy (no corrections)	-7.649	eV per cell
energy above the lowest structure with this stoichiometry	0.00	eV/f.u.

***

Entry from OQMD: an optimized crystal structure of KDyYCu2 (PBE).

Unit cell a=3.734 b=8.872 c=8.872 alpha=28.30 beta=90.00 gamma=90.00
Fractional positions:
Cu 0.000 0.207 0.207
Cu 0.000 0.794 0.794
Dy 0.500 0.331 0.331
K 0.000 0.000 0.000
Y 0.500 0.669 0.669

V	27.9	A^3/atom
magnetic moment	0.01	μB per cell
symmetry	No. 38
total DFT energy (no corrections)	-19.614	eV per cell

***

Entry from OQMD: an optimized crystal structure of LaDyCu2 (PBE).

Unit cell a=4.556 b=5.535 c=7.235 alpha=90.00 beta=90.00 gamma=90.00
Fractional positions:
Cu 0.000 0.130 0.032
Cu 0.500 0.619 0.465
Cu 0.000 0.870 0.532
Cu 0.500 0.381 0.965
Dy 0.000 0.614 0.182
Dy 0.000 0.386 0.682
La 0.500 0.120 0.321
La 0.500 0.880 0.821

V	22.8	A^3/atom
energy relative to the elements	-0.208	eV/atom
magnetic moment	0.01	μB per cell
symmetry	No. 26
total DFT energy (no corrections)	-35.576	eV per cell
energy above the lowest structure with this stoichiometry	0.01	eV/f.u.

***

Entry from OQMD: an optimized crystal structure of LaDyCu2 (PBE).

Unit cell a=5.543 b=4.518 c=7.284 alpha=90.00 beta=92.23 gamma=90.00
Fractional positions:
Cu 0.868 0.250 0.029
Cu 0.386 0.750 0.462
Cu 0.614 0.250 0.538
Cu 0.132 0.750 0.971
Dy 0.369 0.250 0.176
Dy 0.631 0.750 0.824
La 0.867 0.750 0.314
La 0.133 0.250 0.686

V	22.8	A^3/atom
energy relative to the elements	-0.211	eV/atom
magnetic moment	0.01	μB per cell
symmetry	No. 11
total DFT energy (no corrections)	-35.604	eV per cell
energy above the lowest structure with this stoichiometry	0.00	eV/f.u.

***

Entry from OQMD: an optimized crystal structure of LaDyCu2Si2 (PBE).

Unit cell a=4.198 b=4.198 c=7.800 alpha=90.00 beta=90.00 gamma=120.00
Fractional positions:
Cu 0.333 0.667 0.273
Cu 0.667 0.333 0.727
Dy 0.000 0.000 0.500
La 0.000 0.000 0.000
Si 0.667 0.333 0.267
Si 0.333 0.667 0.733

V	19.8	A^3/atom
magnetic moment	0.01	μB per cell
symmetry	No. 164
total DFT energy (no corrections)	-31.714	eV per cell

***

Entry from OQMD: an optimized crystal structure of La2DyZn2Cu2Si4 (PBE).

Unit cell a=12.646 b=12.646 c=12.646 alpha=161.11 beta=161.05 gamma=26.88
Fractional positions:
Cu 0.592 0.092 0.500
Cu 0.408 0.908 0.500
Dy 0.000 0.000 0.000
La 0.856 0.356 0.500
La 0.144 0.644 0.500
Si 0.452 0.452 0.000
Si 0.548 0.548 0.000
Si 0.689 0.189 0.500
Si 0.311 0.811 0.500
Zn 0.250 0.250 0.000
Zn 0.750 0.750 0.000

V	19.3	A^3/atom
magnetic moment	0.00	μB per cell
symmetry	No. 71
total DFT energy (no corrections)	-52.705	eV per cell

***

Entry from OQMD: an optimized crystal structure of LiDyCu4 (PBE).

Unit cell a=5.028 b=5.028 c=5.028 alpha=60.00 beta=60.00 gamma=60.00
Fractional positions:
Cu 0.876 0.876 0.371
Cu 0.876 0.371 0.876
Cu 0.371 0.876 0.876
Cu 0.876 0.876 0.876
Dy 0.500 0.500 0.500
Li 0.250 0.250 0.250

V	15.0	A^3/atom
magnetic moment	0.00	μB per cell
symmetry	No. 216
total DFT energy (no corrections)	-22.572	eV per cell

***

Entry from OQMD: an optimized crystal structure of Li2Dy2Cu15 (PBE).

Unit cell a=6.450 b=6.450 c=6.450 alpha=82.56 beta=82.56 gamma=82.56
Fractional positions:
Cu 0.500 0.000 0.000
Cu 0.696 0.304 0.000
Cu 0.000 0.500 0.000
Cu 0.304 0.696 0.000
Cu 0.655 0.655 0.159
Cu 0.696 0.000 0.304
Cu 0.000 0.696 0.304
Cu 0.841 0.345 0.345
Cu 0.345 0.841 0.345
Cu 0.000 0.000 0.500
Cu 0.655 0.159 0.655
Cu 0.159 0.655 0.655
Cu 0.304 0.000 0.696
Cu 0.000 0.304 0.696
Cu 0.345 0.345 0.841
Dy 0.346 0.346 0.346
Dy 0.654 0.654 0.654
Li 0.094 0.094 0.094
Li 0.906 0.906 0.906

V	13.8	A^3/atom
magnetic moment	0.01	μB per cell
symmetry	No. 166
total DFT energy (no corrections)	-71.484	eV per cell

***

Entry from OQMD: an optimized crystal structure of Dy2LuCu4Si4 (PBE).

Unit cell a=7.814 b=7.814 c=7.814 alpha=149.42 beta=130.95 gamma=58.91
Fractional positions:
Cu 0.978 0.669 0.309
Cu 0.640 0.331 0.309
Cu 0.022 0.331 0.691
Cu 0.360 0.669 0.691
Dy 0.629 0.129 0.500
Dy 0.371 0.871 0.500
Lu 0.000 0.000 0.000
Si 0.215 0.215 0.000
Si 0.785 0.785 0.000
Si 0.688 0.500 0.188
Si 0.312 0.500 0.812

V	16.5	A^3/atom
magnetic moment	0.00	μB per cell
symmetry	No. 71
total DFT energy (no corrections)	-57.188	eV per cell

***

Entry from OQMD: an optimized crystal structure of DyLuCu2Sn2 (PBE).

Unit cell a=4.513 b=4.513 c=7.154 alpha=90.00 beta=90.00 gamma=120.00
Fractional positions:
Cu 0.333 0.667 0.059
Cu 0.667 0.333 0.548
Dy 0.000 0.000 0.734
Lu 0.000 0.000 0.233
Sn 0.333 0.667 0.460
Sn 0.667 0.333 0.966

V	21.0	A^3/atom
magnetic moment	0.00	μB per cell
symmetry	No. 156
total DFT energy (no corrections)	-28.070	eV per cell

***

Entry from OQMD: an optimized crystal structure of Dy3Lu4Cu2Te2 (PBE).

Unit cell a=9.213 b=9.213 c=9.213 alpha=155.36 beta=68.00 gamma=117.76
Fractional positions:
Cu 0.197 0.929 0.267
Cu 0.662 0.929 0.733
Dy 0.789 0.419 0.369
Dy 0.502 0.002 0.500
Dy 0.050 0.419 0.631
Lu 0.412 0.267 0.145
Lu 0.809 0.623 0.186
Lu 0.437 0.623 0.814
Lu 0.123 0.267 0.855
Te 0.765 0.765 0.000
Te 0.168 0.668 0.500

V	26.0	A^3/atom
magnetic moment	0.15	μB per cell
symmetry	No. 44
total DFT energy (no corrections)	-51.926	eV per cell

***

Entry from OQMD: an optimized crystal structure of DyLuCuTe3 (PBE).

Unit cell a=7.367 b=7.367 c=10.926 alpha=90.00 beta=90.00 gamma=147.54
Fractional positions:
Cu 0.472 0.528 0.250
Cu 0.528 0.472 0.750
Dy 0.774 0.226 0.250
Dy 0.226 0.774 0.750
Lu 0.000 0.000 0.000
Lu 0.000 0.000 0.500
Te 0.353 0.647 0.064
Te 0.097 0.903 0.250
Te 0.353 0.647 0.436
Te 0.647 0.353 0.564
Te 0.903 0.097 0.750
Te 0.647 0.353 0.936

V	26.5	A^3/atom
magnetic moment	0.01	μB per cell
symmetry	No. 63
total DFT energy (no corrections)	-56.030	eV per cell

***

Entry from OQMD: an optimized crystal structure of Dy3Tm2Lu2Cu2Te2 (PBE).

Unit cell a=9.236 b=9.236 c=9.236 alpha=155.38 beta=67.66 gamma=118.10
Fractional positions:
Cu 0.304 0.067 0.237
Cu 0.830 0.067 0.763
Dy 0.997 0.997 0.000
Dy 0.090 0.735 0.355
Dy 0.380 0.735 0.645
Lu 0.692 0.376 0.315
Lu 0.061 0.376 0.685
Te 0.338 0.338 0.000
Te 0.732 0.232 0.500
Tm 0.714 0.583 0.131
Tm 0.451 0.583 0.869

V	26.1	A^3/atom
magnetic moment	0.06	μB per cell
symmetry	No. 44
total DFT energy (no corrections)	-51.880	eV per cell

***

Entry from OQMD: an optimized crystal structure of DyTm4Lu2Cu2Te2 (PBE).

Unit cell a=9.189 b=9.189 c=9.189 alpha=155.32 beta=67.89 gamma=117.89
Fractional positions:
Cu 0.304 0.069 0.236
Cu 0.833 0.069 0.764
Dy 0.997 0.997 0.000
Lu 0.691 0.376 0.315
Lu 0.062 0.376 0.685
Te 0.336 0.336 0.000
Te 0.732 0.232 0.500
Tm 0.713 0.582 0.132
Tm 0.089 0.734 0.355
Tm 0.379 0.734 0.645
Tm 0.450 0.582 0.868

V	25.8	A^3/atom
magnetic moment	0.07	μB per cell
symmetry	No. 44
total DFT energy (no corrections)	-51.597	eV per cell